Material: Li2CaGeP
Method: DFT, GGA-PBE
State: relaxed Values from VASP.

```
&SYSTEM
  ibrav = 0, nat = 5, ntyp = 4
/
ATOMIC_SPECIES
Li 6.94 Li.upf
Ca 40.08 Ca.upf
Ge 72.64 Ge.upf
P 30.97 P.upf
CELL_PARAMETERS angstrom
4.605 0.000 0.000
0.000 4.605 0.000
0.000 0.000 5.129
ATOMIC_POSITIONS crystal
Li 0.000 0.500 0.000
Li 0.500 0.000 0.000
Ca 0.000 0.000 0.500
Ge 0.500 0.500 0.000
P 0.500 0.500 0.500
```

Calculated values
The calculation puts the formation energy at -0.1364 eV/atom. The calculation puts the final energy at -3.308 eV/atom.